Here is crystalline InBi2Pd9 at its relaxed geometry from Alexandria via LeMat-Bulk. Energies are from PBE.

Cell lengths 4.1047, 4.1047, 12.2943 Å; angles 90.00, 90.00, 90.00 degrees
Sites, in units of the cell vectors:
Pd (0.5000, 0.5000, 0.0000)
Pd (0.5000, 0.0000, 0.5000)
Pd (0.5000, 0.5000, 0.3335)
Pd (0.5000, 0.5000, 0.6665)
Pd (0.0000, 0.5000, 0.1613)
Pd (0.0000, 0.5000, 0.8387)
Pd (0.5000, 0.0000, 0.8387)
Pd (0.5000, 0.0000, 0.1613)
Pd (0.0000, 0.5000, 0.5000)
Bi (0.0000, 0.0000, 0.3264)
Bi (0.0000, 0.0000, 0.6736)
In (0.0000, 0.0000, 0.0000)

## Properties
crystal system = tetragonal
uncorrected energy = -5.10 eV/atom
formation energy from the elements = -0.328 eV/atom

---

Here is crystalline Mg8RhPb2 at its relaxed geometry from Alexandria via LeMat-Bulk. Energies are from PBE.

Cell lengths 4.8755, 6.9600, 8.3979 Å; angles 113.74, 106.87, 90.00 degrees
Sites, in units of the cell vectors:
Mg (0.6193, 0.3923, 0.2386)
Mg (0.1781, 0.1987, 0.3562)
Mg (0.3807, 0.6077, 0.7614)
Mg (0.6365, 0.8893, 0.2730)
Mg (0.8219, 0.8013, 0.6438)
Mg (0.0061, 0.7867, 0.0121)
Mg (0.3635, 0.1107, 0.7270)
Mg (0.9939, 0.2133, 0.9879)
Pb (0.8193, 0.3219, 0.6386)
Pb (0.1807, 0.6781, 0.3614)
Rh (0.5000, 0.0000, 0.0000)

## Properties
crystal system = monoclinic
uncorrected energy = -2.66 eV/atom
formation energy from the elements = -0.154 eV/atom

---

Here is crystalline NdThCo at its relaxed geometry from Alexandria via LeMat-Bulk. Energies are from PBE.

Cell lengths 4.9828, 4.9828, 6.3730 Å; angles 89.99, 90.00, 90.00 degrees
Sites, in units of the cell vectors:
Th (0.3136, 0.8664, 0.9196)
Th (0.8136, 0.3665, 0.9196)
Nd (0.3135, 0.3665, 0.3186)
Nd (0.8135, 0.8665, 0.5206)
Co (0.3136, 0.3665, 0.7508)
Co (0.8137, 0.8664, 0.0884)

## Properties
crystal system = tetragonal
uncorrected energy = -6.59 eV/atom
energy above the most stable polymorph in this dataset = 0.000 eV per formula unit
formation energy from the elements = -0.158 eV/atom

---

Here is crystalline Li3SmNp2S6 at its relaxed geometry from Alexandria via LeMat-Bulk. Energies are from PBE.

Cell lengths 6.8491, 6.8491, 6.5713 Å; angles 100.01, 100.01, 120.00 degrees
Last column: magnetic moment on the atom in μB.
Sites, in units of the cell vectors:
Np (0.3336, 0.6664, 0.0000)  3.82
Np (0.6664, 0.3336, 0.0000)  3.82
S (0.2547, 0.2547, 0.7448)  -0.06
S (0.7453, 0.7453, 0.2552)  -0.06
S (0.9157, 0.5755, 0.7472)  -0.06
S (0.0843, 0.4245, 0.2528)  -0.06
S (0.5755, 0.9157, 0.7472)  -0.06
S (0.4245, 0.0843, 0.2528)  -0.06
Li (0.1680, 0.8320, 0.5000)  0.00
Li (0.5000, 0.5000, 0.5000)  0.00
Li (0.8320, 0.1680, 0.5000)  0.00
Sm (0.0000, 0.0000, 0.0000)  0.12

## Properties
crystal system = monoclinic
uncorrected energy = -6.59 eV/atom
raw formation energy = -18.0 eV per formula unit

---

Here is crystalline RbHoSb2Au2 at its relaxed geometry from Alexandria via LeMat-Bulk. Energies are from PBE.

Cell lengths 4.6682, 4.6682, 9.5121 Å; angles 90.00, 90.00, 120.00 degrees
Sites, in units of the cell vectors:
Au (0.3333, 0.6667, 0.3376)
Au (0.6667, 0.3333, 0.6624)
Ho (0.0000, 0.0000, 0.5000)
Rb (0.0000, 0.0000, 0.0000)
Sb (0.6667, 0.3333, 0.2805)
Sb (0.3333, 0.6667, 0.7195)

## Properties
crystal system = trigonal
uncorrected energy = -4.08 eV/atom
raw formation energy = -4.1 eV per formula unit

---

Here is crystalline Tm6GaGe2Se3 at its relaxed geometry from Alexandria via LeMat-Bulk. Energies are from PBE.

Cell lengths 4.0630, 8.2051, 9.2026 Å; angles 106.06, 102.75, 90.00 degrees
Sites, in units of the cell vectors:
Ge (0.1641, 0.3264, 0.3283)
Ge (0.8359, 0.6736, 0.6717)
Se (0.1680, 0.8291, 0.3359)
Se (0.5000, 0.5000, 0.0000)
Se (0.8320, 0.1709, 0.6641)
Tm (0.6703, 0.5707, 0.3405)
Tm (0.6663, 0.0869, 0.3326)
Tm (0.0003, 0.7504, 0.0007)
Tm (0.3337, 0.9131, 0.6674)
Tm (0.9997, 0.2496, 0.9993)
Tm (0.3297, 0.4293, 0.6595)
Ga (0.5000, 0.0000, 0.0000)

## Properties
crystal system = monoclinic
uncorrected energy = -5.38 eV/atom
raw formation energy = -15.1 eV per formula unit